# FePbClO2

A geometry-optimized FePbClO2 structure (PBE+U, Alexandria via LeMat-Bulk).

Properties
magnetization = 6.0 Bohr magnetons per cell
ρ = 5739 kg/m3
final energy = -5.370 eV per atom
SG = No. 63

The structure in POSCAR format:
```
FePbClO2
1.0
5.450 0.000 0.000
0.000 5.585 0.000
0.000 -2.793 6.283
Fe Pb Cl O
2 2 2 4
direct
0.250 0.987 0.973
0.750 0.013 0.027
0.250 0.629 0.257
0.750 0.371 0.743
0.750 0.749 0.497
0.250 0.251 0.503
0.500 0.229 0.000
0.000 0.771 0.000
0.500 0.771 0.000
0.000 0.229 0.000
```